La3TlRu PBE-GGA optimized geometry; VASP energy = -28.19 eV per formula unit; DOS at the Fermi energy = 9.12 states/eV per cell; space group = No. 69; ΔE to the lowest computed polymorph = 3.5 kJ/mol of atoms; V = 306 Å³ per cell
1.0
0.000 4.558 8.618
3.900 0.000 8.618
3.900 4.558 0.000
La Tl Ru
6 2 2
Direct
0.106 0.589 0.894
0.225 0.775 0.225
0.411 0.894 0.589
0.589 0.106 0.411
0.775 0.225 0.775
0.894 0.411 0.106
0.000 0.500 0.500
0.500 0.000 0.000
0.302 0.698 0.698
0.698 0.302 0.302